(1)
A relaxed Cu3TeCl9 crystal, computed with PBE.

Summary:
The calculation puts the calculated density at 2.58 Mg/m³. For the raw formation energy, the calculation gives -0.5035 eV/atom.

Cell lengths 7.7548, 10.4230, 11.9535 Å; angles 69.99, 71.07, 68.16 degrees
Closest atoms and distances in Å follow each position.
Sites, in units of the cell vectors:
Cl1 0.7914 0.8809 0.3182  1 Cu 2.26
Cl2 0.8619 0.0396 0.7215  2 Cu 2.16-2.28
Cl3 0.3770 0.5396 0.2215  2 Cu 2.16-2.28
Cl4 0.9075 0.5464 0.2011  1 Te 2.39
Cl5 0.0095 0.3809 0.8182  1 Cu 2.26
Cl6 0.0845 0.7051 0.8826  1 Cu 2.28
Cl7 0.3450 0.0464 0.7011  1 Te 2.39
Cl8 0.7674 0.7767 0.6406  1 Cu 2.37, 1 Te 2.56
Cl9 0.3654 0.8457 0.5192  1 Te 2.34
Cl10 0.6542 0.4794 0.6581  2 Cu 2.16-2.25
Cl11 0.8154 0.2767 0.1406  1 Cu 2.37, 1 Te 2.56
Cl12 0.2697 0.3457 0.0192  1 Te 2.34
Cl13 0.6495 0.2608 0.4830  2 Cu 2.23-2.36
Cl14 0.6067 0.7608 0.9830  2 Cu 2.23-2.36
Cl15 0.7190 0.0504 0.0291  2 Cu 2.22-2.23
Cl16 0.2082 0.9794 0.1581  2 Cu 2.16-2.25
Cl17 0.3278 0.2051 0.3826  1 Cu 2.28
Cl18 0.2015 0.5504 0.5291  2 Cu 2.22-2.23
Cu1 0.7263 0.2619 0.6473  3 Cl 2.16-2.23
Cu2 0.3648 0.3953 0.4149  4 Cl 2.22-2.36
Cu3 0.3645 0.7619 0.1473  3 Cl 2.16-2.23
Cu4 0.9054 0.0310 0.1460  4 Cl 2.23-2.37
Cu5 0.8250 0.8953 0.9149  4 Cl 2.22-2.36
Cu6 0.9175 0.5310 0.6460  4 Cl 2.23-2.37
Te1 0.5447 0.9845 0.5163  3 Cl 2.34-2.56
Te2 0.9545 0.4845 0.0163  3 Cl 2.34-2.56



(2)
A relaxed GdPa2Si crystal, computed with PBE.

Summary:
The calculation puts the calculated density at 11.75 Mg/m³. For the raw formation energy, the calculation gives -0.1624 eV/atom.

Cell lengths 4.8725, 4.3339, 4.3339 Å; angles 90.00, 90.00, 90.00 degrees
Closest atoms and distances in Å follow each position.
Sites, in units of the cell vectors:
Pa1 0.0000 0.0000 0.5000  4 Pa 3.06, 4 Gd 3.26, 4 Si 3.26
Pa2 0.0000 0.5000 0.0000  4 Pa 3.06, 4 Si 3.26, 4 Gd 3.26
Gd1 0.5000 0.5000 0.5000  4 Si 3.06, 8 Pa 3.26
Si1 0.5000 0.0000 0.0000  4 Gd 3.06, 8 Pa 3.26



(3)
A relaxed NbAgHg2 crystal, computed with PBE.

Summary:
The value obtained for the energy relative to the elements is 0.608 eV/atom. The calculation puts the calculated density at 11.47 Mg/m³.

Cell lengths 7.6196, 7.6196, 6.1672 Å; angles 51.85, 51.85, 90.00 degrees
Closest atoms and distances in Å follow each position.
Sites, in units of the cell vectors:
Nb1 0.5000 0.5000 0.0000  4 Hg 2.81, 2 Ag 3.00
Nb2 0.2500 0.7500 0.5000  4 Hg 2.81, 2 Ag 3.00
Ag1 0.7500 0.2500 0.5000  4 Hg 2.78, 2 Nb 3.00
Ag2 0.0000 0.0000 0.0000  4 Hg 2.78, 2 Nb 3.00
Hg1 0.1216 0.6250 0.2500  2 Ag 2.78, 2 Nb 2.81, 2 Hg 3.00
Hg2 0.3750 0.3716 0.7500  2 Ag 2.78, 2 Nb 2.81, 2 Hg 3.00
Hg3 0.8750 0.8784 0.7500  2 Ag 2.78, 2 Nb 2.81, 2 Hg 3.00
Hg4 0.6284 0.1250 0.2500  2 Ag 2.78, 2 Nb 2.81, 2 Hg 3.00



(4)
A relaxed DyNbMo4 crystal, computed with PBE.

Summary:
The value obtained for the energy relative to the elements is 0.075 eV/atom. The calculation puts the calculated density at 9.57 Mg/m³.

Cell lengths 5.3935, 5.3935, 5.3935 Å; angles 60.00, 60.00, 60.00 degrees
Closest atoms and distances in Å follow each position.
Sites, in units of the cell vectors:
Nb1 0.0000 0.0000 0.0000  12 Mo 3.16, 4 Dy 3.30
Mo1 0.1244 0.6252 0.6252  6 Mo 2.69-2.70
Mo2 0.6252 0.6252 0.6252  6 Mo 2.69-2.70
Mo3 0.6252 0.1244 0.6252  6 Mo 2.69-2.70
Mo4 0.6252 0.6252 0.1244  6 Mo 2.69-2.70
Dy1 0.2500 0.2500 0.2500  12 Mo 3.16, 4 Nb 3.30



(5)
A relaxed CeFeRe crystal, computed with PBE.

Summary:
The energy above the most stable polymorph in this dataset is 0 meV/atom. The value obtained for the energy relative to the elements is -0.032 eV/atom. The calculation puts the calculated density at 12.01 Mg/m³.

Cell lengths 5.3429, 5.3453, 5.3453 Å; angles 57.40, 60.01, 60.01 degrees
Closest atoms and distances in Å follow each position.
Sites, in units of the cell vectors:
Fe1 0.0000 0.0000 0.0000  2 Fe 2.67, 4 Re 2.67
Fe2 0.5000 0.0000 0.0000  2 Fe 2.67, 4 Re 2.67
Ce1 0.8774 0.3726 0.3726  6 Fe 3.06-3.17, 6 Re 3.11-3.18, 4 Ce 3.19-3.32
Ce2 0.1226 0.6274 0.6274  6 Fe 3.06-3.17, 6 Re 3.11-3.18, 4 Ce 3.19-3.32
Re1 0.5000 0.5000 0.0000  2 Re 2.57, 4 Fe 2.67
Re2 0.5000 0.0000 0.5000  2 Re 2.57, 4 Fe 2.67



(6)
A relaxed YSc2 crystal, computed with PBE.

Summary:
The energy above the most stable polymorph in this dataset is 39 meV/atom. The value obtained for the energy relative to the elements is 0.062 eV/atom. The calculation puts the calculated density at 3.67 Mg/m³.

Cell lengths 4.7679, 6.7300, 10.0753 Å; angles 90.00, 90.00, 90.00 degrees
Closest atoms and distances in Å follow each position.
Sites, in units of the cell vectors:
Y1 0.7500 0.8712 0.0876  10 Sc 3.33-3.44, 2 Y 3.44
Y2 0.2500 0.1288 0.9124  10 Sc 3.33-3.44, 2 Y 3.44
Y3 0.7500 0.3712 0.4124  10 Sc 3.33-3.44, 2 Y 3.44
Y4 0.2500 0.6288 0.5876  10 Sc 3.33-3.44, 2 Y 3.44
Sc1 0.2500 0.6209 0.2464  7 Sc 3.31-3.41, 5 Y 3.33-3.44
Sc2 0.2500 0.1209 0.2536  7 Sc 3.31-3.41, 5 Y 3.33-3.44
Sc3 0.7500 0.8757 0.4176  7 Sc 3.31-3.41, 5 Y 3.33-3.40
Sc4 0.2500 0.1243 0.5824  7 Sc 3.31-3.41, 5 Y 3.33-3.40
Sc5 0.7500 0.8791 0.7464  7 Sc 3.31-3.41, 5 Y 3.33-3.44
Sc6 0.2500 0.6243 0.9176  7 Sc 3.31-3.41, 5 Y 3.33-3.40
Sc7 0.7500 0.3757 0.0824  7 Sc 3.31-3.41, 5 Y 3.33-3.40
Sc8 0.7500 0.3791 0.7536  7 Sc 3.31-3.41, 5 Y 3.33-3.44



(7)
A relaxed AcTb14Ce crystal, computed with PBE.

Summary:
The value obtained for the energy relative to the elements is 0.041 eV/atom. The calculation puts the calculated density at 8.24 Mg/m³.

Cell lengths 7.1787, 7.1787, 10.1385 Å; angles 90.00, 90.00, 90.00 degrees
Closest atoms and distances in Å follow each position.
Sites, in units of the cell vectors:
Tb1 0.1214 0.8786 0.2536  10 Tb 3.54-3.64, 1 Ce 3.59, 1 Ac 3.64
Tb2 0.6286 0.3714 0.2536  10 Tb 3.54-3.64, 1 Ce 3.59, 1 Ac 3.64
Tb3 0.1214 0.3714 0.7464  10 Tb 3.54-3.64, 1 Ce 3.59, 1 Ac 3.64
Tb4 0.6286 0.8786 0.7464  10 Tb 3.54-3.64, 1 Ce 3.59, 1 Ac 3.64
Tb5 0.1214 0.3714 0.2536  10 Tb 3.54-3.64, 1 Ce 3.59, 1 Ac 3.64
Tb6 0.1214 0.8786 0.7464  10 Tb 3.54-3.64, 1 Ce 3.59, 1 Ac 3.64
Tb7 0.3750 0.1250 0.0000  2 Ce 3.59, 2 Ac 3.59, 8 Tb 3.61
Tb8 0.8749 0.6250 0.5000  12 Tb 3.56-3.59
Tb9 0.6286 0.8786 0.2536  10 Tb 3.54-3.64, 1 Ce 3.59, 1 Ac 3.64
Tb10 0.3750 0.1251 0.5000  12 Tb 3.56-3.59
Tb11 0.6286 0.3714 0.7464  10 Tb 3.54-3.64, 1 Ce 3.59, 1 Ac 3.64
Tb12 0.8750 0.1250 0.5000  12 Tb 3.54-3.59
Tb13 0.3750 0.6250 0.5000  12 Tb 3.59
Tb14 0.8750 0.6250 0.0000  2 Ce 3.59, 2 Ac 3.59, 8 Tb 3.61
Ce1 0.8750 0.1250 0.0000  12 Tb 3.59
Ac1 0.3750 0.6250 0.0000  12 Tb 3.59-3.64



(8)
A relaxed PrEr2Pt2 crystal, computed with PBE.

Summary:
The energy above the most stable polymorph in this dataset is 0 meV/atom. The value obtained for the energy relative to the elements is -1.021 eV/atom. The calculation puts the calculated density at 10.96 Mg/m³.

Cell lengths 4.6763, 5.4085, 10.4312 Å; angles 96.20, 90.00, 90.00 degrees
Closest atoms and distances in Å follow each position.
Sites, in units of the cell vectors:
Pr1 0.2500 0.4135 0.2211  5 Pt 3.02-3.13
Pr2 0.7500 0.5865 0.7789  5 Pt 3.02-3.13
Er1 0.2500 0.7720 0.5260  4 Pt 2.86-2.92
Er2 0.7500 0.8719 0.1128  5 Pt 2.78-2.92
Er3 0.2500 0.1281 0.8872  5 Pt 2.78-2.92
Er4 0.7500 0.2280 0.4740  4 Pt 2.86-2.92
Pt1 0.7500 0.7048 0.3687  5 Er 2.86-2.92, 2 Pr 3.13
Pt2 0.2500 0.2952 0.6313  5 Er 2.86-2.92, 2 Pr 3.13
Pt3 0.7500 0.3395 0.0256  4 Er 2.78-2.92, 2 Pt 2.99, 3 Pr 3.02-3.10
Pt4 0.2500 0.6605 0.9744  4 Er 2.78-2.92, 2 Pt 2.99, 3 Pr 3.02-3.10



(9)
A relaxed Li3Hg5 crystal, computed with PBE.

Summary:
The energy above the most stable polymorph in this dataset is 54 meV/atom. The value obtained for the energy relative to the elements is -0.232 eV/atom. The calculation puts the calculated density at 10.18 Mg/m³.

Cell lengths 8.1152, 8.1152, 5.8536 Å; angles 90.00, 90.00, 120.00 degrees
Closest atoms and distances in Å follow each position.
Sites, in units of the cell vectors:
Li1 0.4007 0.0000 0.7500  7 Hg 2.83-2.97
Li2 0.0000 0.5993 0.2500  7 Hg 2.83-2.97
Li3 0.0000 0.4007 0.7500  7 Hg 2.83-2.97
Li4 0.5993 0.5993 0.7500  7 Hg 2.83-2.97
Li5 0.5993 0.0000 0.2500  7 Hg 2.83-2.97
Li6 0.4007 0.4007 0.2500  7 Hg 2.83-2.97
Hg1 0.6667 0.3333 0.5000  6 Li 2.88, 2 Hg 2.93
Hg2 0.6667 0.3333 0.0000  6 Li 2.88, 2 Hg 2.93
Hg3 0.3333 0.6667 0.0000  6 Li 2.88, 2 Hg 2.93
Hg4 0.3333 0.6667 0.5000  6 Li 2.88, 2 Hg 2.93
Hg5 0.0000 0.7667 0.7500  3 Li 2.83-2.97
Hg6 0.2333 0.2333 0.7500  3 Li 2.83-2.97
Hg7 0.7667 0.7667 0.2500  3 Li 2.83-2.97
Hg8 0.7667 0.0000 0.7500  3 Li 2.83-2.97
Hg9 0.0000 0.2333 0.2500  3 Li 2.83-2.97
Hg10 0.2333 0.0000 0.2500  3 Li 2.83-2.97



(10)
A relaxed SnHPb crystal, computed with PBE.

Summary:
The energy above the most stable polymorph in this dataset is 189 meV/atom. The calculation puts the calculated density at 7.46 Mg/m³.

Cell lengths 4.4709, 4.4709, 4.8200 Å; angles 117.63, 117.63, 90.00 degrees
Closest atoms and distances in Å follow each position.
Sites, in units of the cell vectors:
Sn1 0.5492 0.5492 0.0983  1 H 1.87
Pb1 0.0086 0.0086 0.0172  1 H 2.06
H1 0.2922 0.2922 0.5845  1 Sn 1.87, 1 Pb 2.06



(11)
A relaxed RePCl2 crystal, computed with PBE.

Summary:
The energy above the most stable polymorph in this dataset is 391 meV/atom. The calculation puts the calculated density at 5.39 Mg/m³. For the raw formation energy, the calculation gives 0.1093 eV/atom.

Cell lengths 7.7936, 7.7936, 4.0673 Å; angles 75.09, 75.09, 21.86 degrees
Closest atoms and distances in Å follow each position.
Sites, in units of the cell vectors:
Re1 0.7500 0.7500 0.7500  4 P 2.51, 4 Cl 2.53
Cl1 0.3889 0.3889 0.6130  2 Re 2.53
Cl2 0.1111 0.1111 0.8870  2 Re 2.53
P1 0.2500 0.2500 0.2500  4 Re 2.51



(12)
A relaxed ZnCdBr2 crystal, computed with PBE.

Summary:
The energy above the most stable polymorph in this dataset is 186 meV/atom. The calculation puts the calculated density at 4.01 Mg/m³. For the raw formation energy, the calculation gives -0.3045 eV/atom.

Cell lengths 3.8906, 5.7780, 6.7880 Å; angles 66.52, 90.00, 90.00 degrees
Closest atoms and distances in Å follow each position.
Sites, in units of the cell vectors:
Br1 0.0000 0.4053 0.4451  2 Cd 2.70
Br2 0.0000 0.0947 0.0549  2 Cd 2.70
Cd1 0.5000 0.2500 0.2500  4 Br 2.70
Zn1 0.5000 0.7500 0.7500  2 Cd 3.47



(13)
A relaxed Na3Tb2UTe6 crystal, computed with PBE.

Summary:
The calculation puts the calculated density at 5.92 Mg/m³. For the raw formation energy, the calculation gives -1.1257 eV/atom.

Cell lengths 7.7077, 7.7077, 8.0044 Å; angles 99.23, 99.23, 120.01 degrees
Closest atoms and distances in Å follow each position.
Sites, in units of the cell vectors:
Tb1 0.3333 0.6667 0.0000  6 Te 3.12
Tb2 0.6667 0.3333 0.0000  6 Te 3.12
Te1 0.0783 0.4147 0.2349  2 Tb 3.12, 1 U 3.15, 3 Na 3.25-3.27
Te2 0.9217 0.5853 0.7651  2 Tb 3.12, 1 U 3.15, 3 Na 3.25-3.27
Te3 0.5853 0.9217 0.7651  2 Tb 3.12, 1 U 3.15, 3 Na 3.25-3.27
Te4 0.7421 0.7421 0.2351  2 Tb 3.12, 1 U 3.15, 3 Na 3.24-3.27
Te5 0.4147 0.0783 0.2349  2 Tb 3.12, 1 U 3.15, 3 Na 3.25-3.27
Te6 0.2579 0.2579 0.7649  2 Tb 3.12, 1 U 3.15, 3 Na 3.24-3.27
Na1 0.8336 0.1664 0.5000  6 Te 3.25-3.27
Na2 0.1664 0.8336 0.5000  6 Te 3.25-3.27
Na3 0.5000 0.5000 0.5000  6 Te 3.24-3.27
U1 0.0000 0.0000 0.0000  6 Te 3.15